{
  "formula": "KNa6NbO6",
  "functional": "PBE",
  "state": "relaxed",
  "space_group": "R-3m, No. 166",
  "final_energy_ev_per_atom": -5.1283,
  "total_magnetization_mub_per_atom": 0.000,
  "lattice_angstrom": [[4.637, 2.677, 2.593], [-4.637, 2.677, 2.593], [0.000, -5.354, 2.593]],
  "species": ["K", "Na", "Na", "Na", "Na", "Na", "Na", "Nb", "O", "O", "O", "O", "O", "O"],
  "fractional_positions": [[0.000, 0.000, 0.000], [0.160, 0.500, 0.840], [0.160, 0.840, 0.500], [0.500, 0.160, 0.840], [0.500, 0.840, 0.160], [0.840, 0.160, 0.500], [0.840, 0.500, 0.160], [0.500, 0.500, 0.500], [0.242, 0.242, 0.555], [0.242, 0.555, 0.242], [0.445, 0.758, 0.758], [0.555, 0.242, 0.242], [0.758, 0.445, 0.758], [0.758, 0.758, 0.445]]
}

***

{
  "formula": "K3Na3Nb8P5O35",
  "functional": "PBE",
  "state": "relaxed",
  "space_group": "R32, No. 155",
  "final_energy_ev_per_atom": -7.7894,
  "total_magnetization_mub_per_atom": 0.019,
  "lattice_angstrom": [[4.506, 2.601, 10.136], [-4.506, 2.601, 10.136], [0.000, -5.203, 10.136]],
  "species": ["K", "K", "K", "Na", "Na", "Na", "Nb", "Nb", "Nb", "Nb", "Nb", "Nb", "Nb", "Nb", "P", "P", "P", "P", "P", "O", "O", "O", "O", "O", "O", "O", "O", "O", "O", "O", "O", "O", "O", "O", "O", "O", "O", "O", "O", "O", "O", "O", "O", "O", "O", "O", "O", "O", "O", "O", "O", "O", "O", "O"],
  "fractional_positions": [[0.000, 0.590, 0.410], [0.410, 0.000, 0.590], [0.590, 0.410, 0.000], [0.285, 0.715, 0.500], [0.500, 0.285, 0.715], [0.715, 0.500, 0.285], [0.071, 0.298, 0.822], [0.178, 0.702, 0.929], [0.235, 0.235, 0.235], [0.298, 0.822, 0.071], [0.702, 0.929, 0.178], [0.765, 0.765, 0.765], [0.822, 0.071, 0.298], [0.929, 0.178, 0.702], [0.057, 0.500, 0.943], [0.407, 0.407, 0.407], [0.500, 0.943, 0.057], [0.593, 0.593, 0.593], [0.943, 0.057, 0.500], [0.000, 0.233, 0.767], [0.043, 0.389, 0.134], [0.058, 0.895, 0.255], [0.079, 0.279, 0.442], [0.105, 0.942, 0.745], [0.134, 0.043, 0.389], [0.155, 0.616, 0.833], [0.167, 0.384, 0.845], [0.233, 0.767, 0.000], [0.255, 0.058, 0.895], [0.264, 0.332, 0.565], [0.279, 0.442, 0.079], [0.332, 0.565, 0.264], [0.384, 0.845, 0.167], [0.389, 0.134, 0.043], [0.435, 0.668, 0.736], [0.442, 0.079, 0.279], [0.457, 0.457, 0.457], [0.543, 0.543, 0.543], [0.558, 0.721, 0.921], [0.565, 0.264, 0.332], [0.611, 0.957, 0.866], [0.616, 0.833, 0.155], [0.668, 0.736, 0.435], [0.721, 0.921, 0.558], [0.736, 0.435, 0.668], [0.745, 0.105, 0.942], [0.767, 0.000, 0.233], [0.833, 0.155, 0.616], [0.845, 0.167, 0.384], [0.866, 0.611, 0.957], [0.895, 0.255, 0.058], [0.921, 0.558, 0.721], [0.942, 0.745, 0.105], [0.957, 0.866, 0.611]]
}

***

{
  "formula": "KNaNb2S4",
  "functional": "PBE",
  "state": "relaxed",
  "space_group": "P-3m1, No. 164",
  "final_energy_ev_per_atom": -5.8346,
  "total_magnetization_mub_per_atom": 0.000,
  "lattice_angstrom": [[3.441, 0.000, 0.000], [-1.721, 2.980, 0.000], [0.000, 0.000, 17.233]],
  "species": ["K", "Na", "Nb", "Nb", "S", "S", "S", "S"],
  "fractional_positions": [[0.000, 0.000, 0.000], [0.000, 0.000, 0.500], [0.333, 0.667, 0.741], [0.667, 0.333, 0.259], [0.000, 0.000, 0.170], [0.000, 0.000, 0.348], [0.000, 0.000, 0.652], [0.000, 0.000, 0.830]]
}

***

{
  "formula": "KNaNd",
  "functional": "PBE",
  "state": "relaxed",
  "space_group": "F-43m, No. 216",
  "final_energy_ev_per_atom": -1.4301,
  "total_magnetization_mub_per_atom": 0.527,
  "lattice_angstrom": [[0.000, 4.162, 4.162], [4.162, 0.000, 4.162], [4.162, 4.162, 0.000]],
  "species": ["K", "Na", "Nd"],
  "fractional_positions": [[0.000, 0.000, 0.000], [0.750, 0.750, 0.750], [0.250, 0.250, 0.250]]
}

***

{
  "formula": "KNaNiTe",
  "functional": "PBE",
  "state": "relaxed",
  "space_group": "F-43m, No. 216",
  "final_energy_ev_per_atom": -2.8103,
  "total_magnetization_mub_per_atom": 0.000,
  "lattice_angstrom": [[0.000, 3.561, 3.561], [3.561, 0.000, 3.561], [3.561, 3.561, 0.000]],
  "species": ["K", "Na", "Ni", "Te"],
  "fractional_positions": [[0.000, 0.000, 0.000], [0.750, 0.750, 0.750], [0.250, 0.250, 0.250], [0.500, 0.500, 0.500]]
}

***

{
  "formula": "KNaNiTe",
  "functional": "PBE",
  "state": "relaxed",
  "space_group": "F-43m, No. 216",
  "final_energy_ev_per_atom": -2.7473,
  "total_magnetization_mub_per_atom": 0.000,
  "lattice_angstrom": [[0.000, 3.597, 3.597], [3.597, 0.000, 3.597], [3.597, 3.597, 0.000]],
  "species": ["K", "Na", "Ni", "Te"],
  "fractional_positions": [[0.000, 0.000, 0.000], [0.250, 0.250, 0.250], [0.500, 0.500, 0.500], [0.750, 0.750, 0.750]]
}

***

{
  "formula": "K3NaNi2Te6",
  "functional": "PBE",
  "state": "relaxed",
  "space_group": "C2/m, No. 12",
  "final_energy_ev_per_atom": -3.3555,
  "total_magnetization_mub_per_atom": 0.000,
  "lattice_angstrom": [[3.673, -6.368, 0.000], [3.673, 6.368, 0.000], [-2.512, 0.000, 8.000]],
  "species": ["K", "K", "K", "Na", "Ni", "Ni", "Te", "Te", "Te", "Te", "Te", "Te"],
  "fractional_positions": [[0.000, 0.000, 0.000], [0.348, 0.652, 0.000], [0.652, 0.348, 0.000], [0.500, 0.500, 0.500], [0.167, 0.833, 0.500], [0.833, 0.167, 0.500], [0.051, 0.442, 0.328], [0.171, 0.171, 0.670], [0.442, 0.051, 0.328], [0.558, 0.949, 0.672], [0.829, 0.829, 0.330], [0.949, 0.558, 0.672]]
}

***

{
  "formula": "KNaNiTe",
  "functional": "PBE",
  "state": "relaxed",
  "space_group": "F-43m, No. 216",
  "final_energy_ev_per_atom": -2.6369,
  "total_magnetization_mub_per_atom": 0.202,
  "lattice_angstrom": [[0.000, 3.746, 3.746], [3.746, 0.000, 3.746], [3.746, 3.746, 0.000]],
  "species": ["K", "Na", "Ni", "Te"],
  "fractional_positions": [[0.000, 0.000, 0.000], [0.500, 0.500, 0.500], [0.750, 0.750, 0.750], [0.250, 0.250, 0.250]]
}

***

{
  "formula": "KNaNpS3",
  "functional": "PBE",
  "state": "relaxed",
  "space_group": "Cmcm, No. 63",
  "final_energy_ev_per_atom": -5.8133,
  "total_magnetization_mub_per_atom": 0.500,
  "lattice_angstrom": [[2.084, -7.108, 0.000], [2.084, 7.108, 0.000], [0.000, 0.000, 10.879]],
  "species": ["K", "K", "Na", "Na", "Np", "Np", "S", "S", "S", "S", "S", "S"],
  "fractional_positions": [[0.209, 0.791, 0.750], [0.791, 0.209, 0.250], [0.073, 0.927, 0.250], [0.927, 0.073, 0.750], [0.500, 0.500, 0.000], [0.500, 0.500, 0.500], [0.122, 0.878, 0.020], [0.122, 0.878, 0.480], [0.460, 0.540, 0.250], [0.540, 0.460, 0.750], [0.878, 0.122, 0.520], [0.878, 0.122, 0.980]]
}

***

{
  "formula": "K3NaOs2O9",
  "functional": "PBE",
  "state": "relaxed",
  "space_group": "P6_3/mmc, No. 194",
  "final_energy_ev_per_atom": -6.1633,
  "total_magnetization_mub_per_atom": 0.134,
  "lattice_angstrom": [[5.944, 0.000, 0.000], [-2.972, 5.148, 0.000], [0.000, 0.000, 14.254]],
  "species": ["K", "K", "K", "K", "K", "K", "Na", "Na", "Os", "Os", "Os", "Os", "O", "O", "O", "O", "O", "O", "O", "O", "O", "O", "O", "O", "O", "O", "O", "O", "O", "O"],
  "fractional_positions": [[0.000, 0.000, 0.250], [0.000, 0.000, 0.750], [0.333, 0.667, 0.107], [0.333, 0.667, 0.393], [0.667, 0.333, 0.607], [0.667, 0.333, 0.893], [0.000, 0.000, 0.000], [0.000, 0.000, 0.500], [0.333, 0.667, 0.649], [0.333, 0.667, 0.851], [0.667, 0.333, 0.149], [0.667, 0.333, 0.351], [0.056, 0.528, 0.750], [0.179, 0.359, 0.589], [0.179, 0.359, 0.911], [0.179, 0.821, 0.589], [0.179, 0.821, 0.911], [0.359, 0.179, 0.089], [0.359, 0.179, 0.411], [0.472, 0.528, 0.750], [0.472, 0.944, 0.750], [0.528, 0.056, 0.250], [0.528, 0.472, 0.250], [0.641, 0.821, 0.589], [0.641, 0.821, 0.911], [0.821, 0.179, 0.089], [0.821, 0.179, 0.411], [0.821, 0.641, 0.089], [0.821, 0.641, 0.411], [0.944, 0.472, 0.250]]
}

***

{
  "formula": "KNaSmOsO5",
  "functional": "PBE",
  "state": "relaxed",
  "space_group": "P4/nmm, No. 129",
  "final_energy_ev_per_atom": -6.6349,
  "total_magnetization_mub_per_atom": 0.333,
  "lattice_angstrom": [[5.700, 0.000, 0.000], [0.000, 5.700, 0.000], [0.000, 0.000, 8.010]],
  "species": ["K", "K", "Na", "Na", "Sm", "Sm", "Os", "Os", "O", "O", "O", "O", "O", "O", "O", "O", "O", "O"],
  "fractional_positions": [[0.250, 0.750, 0.000], [0.750, 0.250, 0.000], [0.250, 0.250, 0.232], [0.750, 0.750, 0.768], [0.250, 0.750, 0.500], [0.750, 0.250, 0.500], [0.250, 0.250, 0.727], [0.750, 0.750, 0.273], [0.012, 0.012, 0.675], [0.012, 0.488, 0.675], [0.250, 0.250, 0.960], [0.488, 0.012, 0.675], [0.488, 0.488, 0.675], [0.512, 0.512, 0.325], [0.512, 0.988, 0.325], [0.750, 0.750, 0.040], [0.988, 0.512, 0.325], [0.988, 0.988, 0.325]]
}

***

{
  "formula": "KNaZnP2O7",
  "functional": "PBE",
  "state": "relaxed",
  "space_group": "P2_1/c, No. 14",
  "final_energy_ev_per_atom": -6.2676,
  "lattice_angstrom": [[7.407, 0.000, 0.000], [0.000, 7.200, 0.000], [-7.138, 0.000, 12.402]],
  "species": ["K", "K", "K", "K", "Na", "Na", "Na", "Na", "Zn", "Zn", "Zn", "Zn", "P", "P", "P", "P", "P", "P", "P", "P", "O", "O", "O", "O", "O", "O", "O", "O", "O", "O", "O", "O", "O", "O", "O", "O", "O", "O", "O", "O", "O", "O", "O", "O", "O", "O", "O", "O"],
  "fractional_positions": [[0.004, 0.207, 0.099], [0.004, 0.293, 0.599], [0.996, 0.707, 0.401], [0.996, 0.793, 0.901], [0.482, 0.525, 0.612], [0.482, 0.975, 0.112], [0.518, 0.025, 0.888], [0.518, 0.475, 0.388], [0.444, 0.019, 0.619], [0.444, 0.481, 0.119], [0.556, 0.519, 0.881], [0.556, 0.981, 0.381], [0.225, 0.214, 0.396], [0.225, 0.286, 0.896], [0.227, 0.718, 0.206], [0.227, 0.782, 0.706], [0.773, 0.218, 0.294], [0.773, 0.282, 0.794], [0.775, 0.714, 0.104], [0.775, 0.786, 0.604], [0.009, 0.708, 0.208], [0.009, 0.792, 0.708], [0.209, 0.640, 0.625], [0.209, 0.860, 0.125], [0.234, 0.049, 0.467], [0.234, 0.451, 0.967], [0.262, 0.096, 0.948], [0.262, 0.404, 0.448], [0.267, 0.517, 0.184], [0.267, 0.983, 0.684], [0.360, 0.185, 0.344], [0.360, 0.315, 0.844], [0.383, 0.738, 0.825], [0.383, 0.762, 0.325], [0.617, 0.238, 0.675], [0.617, 0.262, 0.175], [0.640, 0.685, 0.156], [0.640, 0.815, 0.656], [0.733, 0.017, 0.316], [0.733, 0.483, 0.816], [0.738, 0.596, 0.552], [0.738, 0.904, 0.052], [0.766, 0.549, 0.033], [0.766, 0.951, 0.533], [0.791, 0.140, 0.875], [0.791, 0.360, 0.375], [0.991, 0.208, 0.292], [0.991, 0.292, 0.792]]
}

***

Please write out number 6 again, unchanged.
{
  "formula": "KNaNiTe",
  "functional": "PBE",
  "state": "relaxed",
  "space_group": "F-43m, No. 216",
  "final_energy_ev_per_atom": -2.7473,
  "total_magnetization_mub_per_atom": 0.000,
  "lattice_angstrom": [[0.000, 3.597, 3.597], [3.597, 0.000, 3.597], [3.597, 3.597, 0.000]],
  "species": ["K", "Na", "Ni", "Te"],
  "fractional_positions": [[0.000, 0.000, 0.000], [0.250, 0.250, 0.250], [0.500, 0.500, 0.500], [0.750, 0.750, 0.750]]
}